This record from Alexandria describes a relaxed structure of BaMo3O6. The functional is GGA+U.

Raw total energy in eV per atom: -7.098
Total magnetization in μB per formula unit: 8.0
SG: No. 146

Unit cell a=5.6999 b=5.6999 c=6.0113 alpha=90.00 beta=118.30 gamma=120.00
Closest atoms and distances in Å follow each position.
Positions (direct):
Ba1 0.7754 0.8877 0.6631  3 O 2.52
O1 0.8131 0.0623 0.2086  3 Mo 2.14-2.24
O2 0.1462 0.7508 0.2086  3 Mo 2.14-2.24
O3 0.4185 0.4683 0.7539  3 Mo 2.10-2.22
O4 0.8037 0.3354 0.7539  3 Mo 2.10-2.22
O5 0.2856 0.9502 0.7539  3 Mo 2.10-2.22
O6 0.4578 0.3954 0.2086  3 Mo 2.14-2.24
Mo1 0.3168 0.6584 0.9752  6 O 2.15-2.24
Mo2 0.6932 0.3466 0.0398  6 O 2.10-2.14
Mo3 0.2897 0.1449 0.4346  6 O 2.16-2.22